The following is a DFT calculation (GGA-PBE) of Fe2CoHPt after structural relaxation.

CIF file:
```
data_Fe2CoHPt
_chemical_formula_sum 'Fe2 Co1 H1 Pt1'
_cell_length_a 3.766
_cell_length_b 3.766
_cell_length_c 3.769
_cell_angle_alpha 90.00
_cell_angle_beta 90.00
_cell_angle_gamma 90.00
_symmetry_space_group_name_H-M 'P 4/m m m'
_symmetry_Int_Tables_number 123
_symmetry_space_group_name_Hall '-P 4 2'
loop_
_atom_site_label
_atom_site_fract_x
_atom_site_fract_y
_atom_site_fract_z
Fe1 0.000 0.500 0.000
Co1 0.000 0.000 0.500
H1 0.500 0.500 0.000
Pt1 0.500 0.500 0.500
```

The value obtained for the uncorrected energy is -6.699 eV/atom. As for the relative energy among the computed polymorphs: 0 meV/atom.